# PBE TaNi2HCl, optimized geometry
data_TaNi2HCl
_symmetry_space_group_name_H-M 'P 4/m m m'
_symmetry_Int_Tables_number 123
_symmetry_space_group_name_Hall '-P 4 2'
_cell_length_a 4.771
_cell_length_b 4.771
_cell_length_c 3.524
_cell_angle_alpha 90.00
_cell_angle_beta 90.00
_cell_angle_gamma 90.00
loop_
_atom_site_label
_atom_site_fract_x
_atom_site_fract_y
_atom_site_fract_z
_atom_site_occupancy
Ta1 0.000 0.000 0.000 1
Ni1 0.000 0.500 0.000 1
H1 0.000 0.000 0.500 1
Cl1 0.500 0.500 0.500 1
# - E above lowest polymorph (kJ/mol of atoms) = 47.37
# - spin magnetization (μB per atom) = 0.000

# PBE VNi2HCl, optimized geometry
data_VNi2HCl
_symmetry_space_group_name_H-M 'P 4/m m m'
_symmetry_Int_Tables_number 123
_symmetry_space_group_name_Hall '-P 4 2'
_cell_length_a 4.426
_cell_length_b 4.426
_cell_length_c 4.485
_cell_angle_alpha 90.00
_cell_angle_beta 90.00
_cell_angle_gamma 90.00
loop_
_atom_site_label
_atom_site_fract_x
_atom_site_fract_y
_atom_site_fract_z
_atom_site_occupancy
V1 0.000 0.000 0.000 1
Ni1 0.000 0.500 0.000 1
H1 0.500 0.500 0.500 1
Cl1 0.000 0.000 0.500 1
# - spin magnetization (μB per atom) = 0.295
# - raw total energy (eV/atom) = -4.0236

# PBE Zr2NiHCl, optimized geometry
data_Zr2NiHCl
_symmetry_space_group_name_H-M 'P 4/m m m'
_symmetry_Int_Tables_number 123
_symmetry_space_group_name_Hall '-P 4 2'
_cell_length_a 4.971
_cell_length_b 4.971
_cell_length_c 3.190
_cell_angle_alpha 90.00
_cell_angle_beta 90.00
_cell_angle_gamma 90.00
loop_
_atom_site_label
_atom_site_fract_x
_atom_site_fract_y
_atom_site_fract_z
_atom_site_occupancy
Zr1 0.000 0.500 0.000 1
Ni1 0.000 0.000 0.500 1
H1 0.500 0.500 0.500 1
Cl1 0.500 0.500 0.000 1
# - spin magnetization (μB per atom) = 0.000
# - raw total energy (eV/atom) = -5.3426

- Look up the spin magnetization of the first one.
  0.000 μB per atom

- Number 3 is which compound?
  Zr2NiHCl